{"formula": "Li2ReSb", "functional": "PBE", "state": "relaxed", "formation_energy_uncorrected_ev_per_fu": 0.9, "space_group": "Pmmm, No. 47", "energy_ev_per_cell": -19.49, "lattice_angstrom": [[3.151, 0.000, 0.000], [0.000, 4.432, 0.000], [0.000, 0.000, 4.695]], "species": ["Li", "Li", "Re", "Sb"], "fractional_positions": [[0.000, 0.000, 0.000], [0.500, 0.500, 0.000], [0.000, 0.500, 0.500], [0.500, 0.000, 0.500]]}